[1]
VASP calculation (GGA-PBE) on a relaxed NaYLu2 crystal.

Output
Its total magnetization is 0.00 Bohr magnetons per cell. As for the formation energy: 0.6 eV/f.u. As for the space group: P4/mmm, No. 123. For the energy, the calculation gives -4.045 eV per atom.

Lattice parameters (Å, degrees): 3.5080 3.5080 10.3682 90.00 90.00 90.00
Closest atoms and distances in Å follow each position.
Sites, in units of the cell vectors:
1 Na 0.0000 0.0000 0.0000  4 Na 3.51, 8 Lu 3.75
2 Y 0.0000 0.0000 0.5000  8 Lu 3.44, 4 Y 3.51
3 Lu 0.5000 0.5000 0.2707  4 Y 3.44, 4 Lu 3.51, 4 Na 3.75
4 Lu 0.5000 0.5000 0.7293  4 Y 3.44, 4 Lu 3.51, 4 Na 3.75

[2]
VASP calculation (GGA-PBE) on a relaxed NaYLu crystal.

Output
Its total magnetization is 0.58 Bohr magnetons per cell. As for the formation energy: 0.5 eV/f.u. As for the space group: P3m1, No. 156. For the energy, the calculation gives -3.936 eV per atom.

Lattice parameters (Å, degrees): 3.5000 3.5000 9.1880 90.00 90.00 120.00
Closest atoms and distances in Å follow each position.
Sites, in units of the cell vectors:
1 Na 0.0000 0.0000 0.0000  6 Na 3.50, 3 Lu 3.79, 3 Y 3.83
2 Y 0.3333 0.6667 0.6455  3 Lu 3.40, 6 Y 3.50
3 Lu 0.6667 0.3333 0.3484  3 Y 3.40, 6 Lu 3.50, 3 Na 3.79

[3]
VASP calculation (GGA-PBE) on a relaxed NaLuZn4 crystal.

Output
Its total magnetization is 0.00 Bohr magnetons per cell. As for the formation energy: -0.8 eV/f.u. As for the space group: F-43m, No. 216. For the energy, the calculation gives -1.956 eV per atom.

Lattice parameters (Å, degrees): 5.3943 5.3943 5.3943 60.00 60.00 60.00
Closest atoms and distances in Å follow each position.
Sites, in units of the cell vectors:
1 Na 0.0000 0.0000 0.0000  12 Zn 3.16, 4 Lu 3.30
2 Lu 0.7500 0.7500 0.7500  12 Zn 3.16, 4 Na 3.30
3 Zn 0.3750 0.3750 0.3750  6 Zn 2.70
4 Zn 0.3750 0.3750 0.8749  6 Zn 2.70
5 Zn 0.3750 0.8749 0.3750  6 Zn 2.70
6 Zn 0.8749 0.3750 0.3750  6 Zn 2.70

[4]
VASP calculation (GGA-PBE) on a relaxed NaLu2Zn crystal.

Output
Its total magnetization is 0.00 Bohr magnetons per cell. As for the formation energy: 0.0 eV/f.u. As for the space group: P4/mmm, No. 123. For the energy, the calculation gives -2.904 eV per atom.

Lattice parameters (Å, degrees): 3.5016 3.5016 8.8047 90.00 90.00 90.00
Closest atoms and distances in Å follow each position.
Sites, in units of the cell vectors:
1 Na 0.0000 0.0000 0.0000  4 Na 3.50, 8 Lu 3.69
2 Lu 0.5000 0.5000 0.3110  4 Zn 2.98, 1 Lu 3.33
3 Lu 0.5000 0.5000 0.6890  4 Zn 2.98, 1 Lu 3.33
4 Zn 0.0000 0.0000 0.5000  8 Lu 2.98

[5]
VASP calculation (GGA-PBE) on a relaxed Lu5Nb crystal.

Output
Its total magnetization is 0.00 Bohr magnetons per cell. As for the formation energy: 0.8 eV/f.u. As for the space group: Cmmm, No. 65. For the energy, the calculation gives -5.311 eV per atom.

Lattice parameters (Å, degrees): 7.4995 7.4995 4.7635 90.00 90.00 143.15
Closest atoms and distances in Å follow each position.
Sites, in units of the cell vectors:
1 Lu 0.0000 0.0000 0.0000  8 Lu 3.25-3.27, 4 Nb 3.36
2 Lu 0.1554 0.8446 0.5000  2 Nb 3.24, 10 Lu 3.25-3.59
3 Lu 0.3420 0.6580 0.0000  10 Lu 3.27-3.57, 2 Nb 3.28
4 Lu 0.6580 0.3420 0.0000  10 Lu 3.27-3.57, 2 Nb 3.28
5 Lu 0.8446 0.1554 0.5000  2 Nb 3.24, 10 Lu 3.25-3.59
6 Nb 0.5000 0.5000 0.5000  12 Lu 3.24-3.36

[6]
VASP calculation (GGA-PBE) on a relaxed LuNbNi4 crystal.

Output
Its total magnetization is 0.00 Bohr magnetons per cell. As for the formation energy: -1.6 eV/f.u. As for the space group: F-43m, No. 216. For the energy, the calculation gives -6.552 eV per atom.

Lattice parameters (Å, degrees): 4.9069 4.9069 4.9069 60.00 60.00 60.00
Closest atoms and distances in Å follow each position.
Sites, in units of the cell vectors:
1 Lu 0.0000 0.0000 0.0000  12 Ni 2.88, 4 Nb 3.00
2 Nb 0.2500 0.2500 0.2500  12 Ni 2.88, 4 Lu 3.00
3 Ni 0.1257 0.6248 0.6248  6 Ni 2.45-2.46
4 Ni 0.6248 0.1257 0.6248  6 Ni 2.45-2.46
5 Ni 0.6248 0.6248 0.1257  6 Ni 2.45-2.46
6 Ni 0.6248 0.6248 0.6248  6 Ni 2.45-2.46

[7]
VASP calculation (GGA-PBE) on a relaxed LuNbNiOs crystal.

Output
Its total magnetization is 0.00 Bohr magnetons per cell. As for the formation energy: -1.0 eV/f.u. As for the space group: F-43m, No. 216. For the energy, the calculation gives -8.139 eV per atom.

Lattice parameters (Å, degrees): 4.5653 4.5653 4.5653 60.00 60.00 60.00
Closest atoms and distances in Å follow each position.
Sites, in units of the cell vectors:
1 Lu 0.0000 0.0000 0.0000  4 Os 2.80, 4 Ni 2.80
2 Nb 0.5000 0.5000 0.5000  4 Os 2.80, 4 Ni 2.80
3 Ni 0.2500 0.2500 0.2500  4 Nb 2.80, 4 Lu 2.80
4 Os 0.7500 0.7500 0.7500  4 Nb 2.80, 4 Lu 2.80

[8]
VASP calculation (GGA-PBE) on a relaxed LuNbNiRh crystal.

Output
Its total magnetization is 0.00 Bohr magnetons per cell. As for the formation energy: -1.4 eV/f.u. As for the space group: F-43m, No. 216. For the energy, the calculation gives -7.289 eV per atom.

Lattice parameters (Å, degrees): 4.5789 4.5789 4.5789 60.00 60.00 60.00
Closest atoms and distances in Å follow each position.
Sites, in units of the cell vectors:
1 Lu 0.0000 0.0000 0.0000  4 Ni 2.80, 4 Rh 2.80
2 Nb 0.5000 0.5000 0.5000  4 Rh 2.80, 4 Ni 2.80
3 Ni 0.7500 0.7500 0.7500  4 Nb 2.80, 4 Lu 2.80
4 Rh 0.2500 0.2500 0.2500  4 Nb 2.80, 4 Lu 2.80

[9]
VASP calculation (GGA-PBE) on a relaxed LuNbTcNi crystal.

Output
Its total magnetization is 0.00 Bohr magnetons per cell. As for the formation energy: -0.8 eV/f.u. As for the space group: F-43m, No. 216. For the energy, the calculation gives -7.878 eV per atom.

Lattice parameters (Å, degrees): 4.5646 4.5646 4.5646 60.00 60.00 60.00
Closest atoms and distances in Å follow each position.
Sites, in units of the cell vectors:
1 Lu 0.0000 0.0000 0.0000  4 Tc 2.80, 4 Ni 2.80
2 Nb 0.5000 0.5000 0.5000  4 Ni 2.80, 4 Tc 2.80
3 Tc 0.7500 0.7500 0.7500  4 Nb 2.80, 4 Lu 2.80
4 Ni 0.2500 0.2500 0.2500  4 Nb 2.80, 4 Lu 2.80

[10]
VASP calculation (GGA-PBE) on a relaxed Lu2NbO crystal.

Output
Its total magnetization is 0.77 Bohr magnetons per cell. As for the space group: R-3m, No. 166. For the energy, the calculation gives -6.931 eV per atom. The calculation puts the uncorrected formation energy at -914 meV per atom.

Lattice parameters (Å, degrees): 8.7879 8.7879 8.7879 20.94 20.94 20.94
Closest atoms and distances in Å follow each position.
Sites, in units of the cell vectors:
1 Lu 0.1122 0.1122 0.1122  3 O 2.32
2 Lu 0.8878 0.8878 0.8878  3 O 2.32
3 Nb 0.0000 0.0000 0.0000  2 Lu 2.89, 6 Nb 3.19
4 O 0.5000 0.5000 0.5000  6 Lu 2.32

[11]
VASP calculation (GGA-PBE) on a relaxed Lu2Nb2O7 crystal.

Output
Its total magnetization is 0.02 Bohr magnetons per cell. As for the space group: Fd-3m, No. 227. For the energy, the calculation gives -8.778 eV per atom. The calculation puts the uncorrected formation energy at -2970 meV per atom.

Lattice parameters (Å, degrees): 7.2345 7.2345 7.2345 60.00 60.00 60.00
Closest atoms and distances in Å follow each position.
Sites, in units of the cell vectors:
1 Lu 0.0000 0.0000 0.0000  8 O 2.22-2.37
2 Lu 0.0000 0.0000 0.5000  8 O 2.22-2.37
3 Lu 0.0000 0.5000 0.0000  8 O 2.22-2.37
4 Lu 0.5000 0.0000 0.0000  8 O 2.22-2.37
5 Nb 0.0000 0.5000 0.5000  6 O 2.08
6 Nb 0.5000 0.0000 0.5000  6 O 2.08
7 Nb 0.5000 0.5000 0.0000  6 O 2.08
8 Nb 0.5000 0.5000 0.5000  6 O 2.08
9 O 0.1250 0.1250 0.1250  4 Lu 2.22
10 O 0.1503 0.1503 0.5997  2 Nb 2.08
11 O 0.1503 0.5997 0.1503  2 Nb 2.08
12 O 0.1503 0.5997 0.5997  2 Nb 2.08
13 O 0.4003 0.4003 0.8497  2 Nb 2.08
14 O 0.4003 0.8497 0.4003  2 Nb 2.08
15 O 0.4003 0.8497 0.8497  2 Nb 2.08
16 O 0.5997 0.1503 0.1503  2 Nb 2.08
17 O 0.5997 0.1503 0.5997  2 Nb 2.08
18 O 0.5997 0.5997 0.1503  2 Nb 2.08
19 O 0.8497 0.4003 0.4003  2 Nb 2.08
20 O 0.8497 0.4003 0.8497  2 Nb 2.08
21 O 0.8497 0.8497 0.4003  2 Nb 2.08
22 O 0.8750 0.8750 0.8750  4 Lu 2.22

[12]
VASP calculation (GGA-PBE) on a relaxed Lu3NbO7 crystal.

Output
Its total magnetization is 0.00 Bohr magnetons per cell. As for the space group: Cmme, No. 67. For the energy, the calculation gives -8.468 eV per atom. The calculation puts the uncorrected formation energy at -3165 meV per atom.

Lattice parameters (Å, degrees): 8.0172 8.0172 5.2604 90.00 90.00 125.57
Closest atoms and distances in Å follow each position.
Sites, in units of the cell vectors:
1 Lu 0.0000 0.5000 0.5000  6 O 2.21-2.23
2 Lu 0.1223 0.8777 0.9710  4 O 2.04-2.19
3 Lu 0.3777 0.6223 0.9710  4 O 2.04-2.19
4 Lu 0.5000 0.0000 0.5000  6 O 2.21-2.23
5 Lu 0.6223 0.3777 0.0290  4 O 2.04-2.19
6 Lu 0.8777 0.1223 0.0290  4 O 2.04-2.19
7 Nb 0.2500 0.2500 0.5000  8 O 2.17-2.19
8 Nb 0.7500 0.7500 0.5000  8 O 2.17-2.19
9 O 0.0144 0.9856 0.7172  1 Lu 2.04, 2 Nb 2.17
10 O 0.0896 0.3373 0.7399  3 Lu 2.18-2.43, 1 Nb 2.19
11 O 0.1627 0.4104 0.2601  3 Lu 2.18-2.43, 1 Nb 2.19
12 O 0.2500 0.7500 0.7412  4 Lu 2.19-2.23
13 O 0.3373 0.0896 0.2601  3 Lu 2.18-2.43, 1 Nb 2.19
14 O 0.4104 0.1627 0.7399  3 Lu 2.18-2.43, 1 Nb 2.19
15 O 0.4856 0.5144 0.7172  1 Lu 2.04, 2 Nb 2.17
16 O 0.5144 0.4856 0.2828  1 Lu 2.04, 2 Nb 2.17
17 O 0.5896 0.8373 0.2601  3 Lu 2.18-2.43, 1 Nb 2.19
18 O 0.6627 0.9104 0.7399  3 Lu 2.18-2.43, 1 Nb 2.19
19 O 0.7500 0.2500 0.2588  4 Lu 2.19-2.23
20 O 0.8373 0.5896 0.7399  3 Lu 2.18-2.43, 1 Nb 2.19
21 O 0.9104 0.6627 0.2601  3 Lu 2.18-2.43, 1 Nb 2.19
22 O 0.9856 0.0144 0.2828  1 Lu 2.04, 2 Nb 2.17

[13]
VASP calculation (GGA-PBE) on a relaxed LuNbOs crystal.

Output
Its total magnetization is 0.00 Bohr magnetons per cell. As for the formation energy: -0.5 eV/f.u. As for the space group: I4mm, No. 107. For the energy, the calculation gives -8.763 eV per atom.

Lattice parameters (Å, degrees): 5.8374 5.8374 5.8374 147.59 147.59 46.49
Closest atoms and distances in Å follow each position.
Sites, in units of the cell vectors:
1 Lu 0.0000 0.0000 0.0000  4 Os 2.96, 5 Nb 3.11-3.28, 4 Lu 3.26
2 Nb 0.6943 0.6943 0.0000  4 Os 2.70
3 Os 0.3264 0.3264 0.0000  4 Nb 2.70, 4 Lu 2.96

[14]
VASP calculation (GGA-PBE) on a relaxed LuNbOs4 crystal.

Output
Its total magnetization is 0.00 Bohr magnetons per cell. As for the formation energy: -0.9 eV/f.u. As for the space group: F-43m, No. 216. For the energy, the calculation gives -10.061 eV per atom.

Lattice parameters (Å, degrees): 5.2304 5.2304 5.2304 60.00 60.00 60.00
Closest atoms and distances in Å follow each position.
Sites, in units of the cell vectors:
1 Lu 0.0000 0.0000 0.0000  12 Os 3.07, 4 Nb 3.20
2 Nb 0.7500 0.7500 0.7500  12 Os 3.07, 4 Lu 3.20
3 Os 0.3747 0.3747 0.3747  6 Os 2.61-2.62
4 Os 0.3747 0.3747 0.8760  6 Os 2.61-2.62
5 Os 0.3747 0.8760 0.3747  6 Os 2.61-2.62
6 Os 0.8760 0.3747 0.3747  6 Os 2.61-2.62